## SrCo2P2O8 (PBE+U)

Data for a relaxed structure of SrCo2P2O8. Values from VASP.

Structure (Quantum ESPRESSO input):
```
&SYSTEM
  ibrav = 0, nat = 26, ntyp = 4
/
ATOMIC_SPECIES
O 16.00 O.upf
P 30.97 P.upf
Co 58.93 Co.upf
Sr 87.62 Sr.upf
ATOMIC_POSITIONS angstrom
O 5.795 -4.736 -2.937
O 2.540 0.164 5.815
O 3.410 -4.735 -2.182
O 4.926 0.164 5.059
O 4.989 -2.770 -1.552
O 3.347 -1.801 4.429
O 6.078 -0.184 0.240
O 2.257 -4.387 2.637
O 5.336 -2.605 1.909
O 2.999 -1.966 0.968
O 0.639 -4.872 -0.170
O 7.696 0.301 3.047
O 0.499 -2.139 1.212
O 6.760 -2.805 4.009
O 1.575 -1.766 -1.132
O 7.836 -2.432 1.665
P 4.839 -4.292 -1.804
P 3.497 -0.280 4.681
P 6.716 -3.098 2.516
P 1.619 -1.474 0.361
Co 0.563 -4.073 1.616
Co 4.790 -1.749 0.140
Co 3.545 -2.822 2.737
Co 7.773 -0.498 1.261
Sr 4.924 -1.073 -3.732
Sr 3.412 -3.498 6.609
CELL_PARAMETERS angstrom
-0.898 -4.942 -0.740
6.808 0.026 -5.472
2.425 0.345 9.089
```

Summary:
Space group: P-1
M_tot: 12.01 μB/cell
Calculated total energy: -6.976 eV per atom
Volume: 14.15 Å³/atom